# 1
PBE KP2WN6, relaxed; ΔE_f (raw) = -214 meV/atom; energy = -7.696 eV per atom
1.0
5.3990 -0.0377 -0.0391
1.6820 7.3622 -0.6250
1.6820 -0.8974 7.3340
K P W N
2 4 2 12
direct
0.2500 0.8915 0.1085
0.7500 0.1085 0.8915
0.3397 0.8000 0.6515
0.1603 0.3485 0.2000
0.6603 0.2000 0.3485
0.8397 0.6515 0.8000
0.2500 0.2712 0.7288
0.7500 0.7288 0.2712
0.2458 0.0266 0.6754
0.2542 0.3246 0.9734
0.7542 0.9734 0.3246
0.7458 0.6754 0.0266
0.4440 0.7093 0.4318
0.0560 0.5682 0.2907
0.5560 0.2907 0.5682
0.9440 0.4318 0.7093
0.0800 0.7498 0.7598
0.4200 0.2402 0.2502
0.9200 0.2502 0.2402
0.5800 0.7598 0.7498

# 2
PBE KZr2P2N6, relaxed; ΔE_f (raw) = -752 meV/atom; energy = -7.931 eV per atom
1.0
5.9781 0.0026 0.0026
2.9857 5.4099 -0.2522
-0.0003 -3.2688 5.3415
K Zr P N
1 2 2 6
direct
0.5000 0.0000 0.5000
0.8149 0.3703 0.8089
0.1851 0.6297 0.1911
0.1207 0.7588 0.8059
0.8793 0.2412 0.1941
0.4030 0.6215 0.8618
0.0242 0.3787 0.1384
0.0687 0.8627 0.6119
0.9758 0.6213 0.8616
0.9313 0.1373 0.3881
0.5970 0.3785 0.1382

# 3
PBE KPaN2, relaxed; excess energy over the best structure of this formula in the dataset = 40 meV/atom; ΔE_f (raw) = -1176 meV/atom; energy = -7.987 eV per atom
1.0
3.6010 0.0000 0.0000
1.8005 3.1186 0.0000
1.8005 1.0395 6.5505
K Pa N
1 1 2
direct
0.4961 0.4961 0.5116
0.6672 0.6672 0.9983
0.0543 0.0543 0.8372
0.2824 0.2824 0.1529

# 4
PBE KPaN2, relaxed; excess energy over the best structure of this formula in the dataset = 0 meV/atom; ΔE_f (raw) = -1217 meV/atom; energy = -8.028 eV per atom
1.0
3.4749 0.0000 0.9840
1.5981 3.0856 0.9840
-0.0372 -0.0227 6.7592
K Pa N
1 1 2
direct
0.5000 0.5000 0.5000
0.0000 0.0000 0.0000
0.2801 0.2801 0.1598
0.7199 0.7199 0.8402

# 5
PBE KPaN2, relaxed; excess energy over the best structure of this formula in the dataset = 726 meV/atom; ΔE_f (raw) = -491 meV/atom; energy = -7.302 eV per atom
1.0
3.0430 0.0000 0.0000
0.0000 3.0430 0.0000
0.0000 0.0000 6.7422
K Pa N
1 1 2
direct
0.5000 0.5000 0.5000
0.5000 0.5000 0.0000
0.0000 0.0000 0.8166
0.0000 0.0000 0.1834

# 6
PBE KPaN2, relaxed; excess energy over the best structure of this formula in the dataset = 170 meV/atom; ΔE_f (raw) = -1047 meV/atom; energy = -7.858 eV per atom
1.0
3.6370 0.0000 0.0000
1.8185 3.1497 0.0000
1.8185 1.0499 7.1734
K Pa N
1 1 2
direct
0.0000 0.0000 0.0000
0.5000 0.5000 0.5000
0.1209 0.1209 0.6373
0.8791 0.8791 0.3627